Compound: Si2PRh2
Source: Alexandria via LeMat-Bulk
Functional: PBE
Structure: optimized geometry

Computed properties:
formation energy (no corrections) = -0.31 eV/atom
total magnetic moment = 0.000 μB/atom
relative energy among the computed polymorphs = 61.0 meV/atom
D(E_F) = 2.380 states/eV/f.u.

abc: 3.581 3.581 11.786
angles: 90.00 90.00 90.00
Space group I4/mmm (No. 139)
Symmetry-distinct sites (fractional):
Si (0.000, 0.500, 0.250) x4
P (0.000, 0.000, 0.000) x2
Rh (0.000, 0.000, 0.380) x4

=====

Compound: Na2As4Pt3Rh
Source: Alexandria via LeMat-Bulk
Functional: PBE
Structure: optimized geometry

Computed properties:
total magnetic moment = 0.000 μB/atom
energy of formation = -40.47 kJ per mole of atoms
D(E_F) = 6.071 states/eV/f.u.

abc: 4.352 4.352 10.160
angles: 90.00 90.00 90.00
Space group P-4m2 (No. 115)
Symmetry-distinct sites (fractional):
Na (0.000, 0.500, 0.246) x2
As (0.000, 0.000, 0.500) x1
As (0.000, 0.500, 0.873) x2
As (0.500, 0.500, 0.500) x1
Pt (0.000, 0.000, 0.000) x1
Pt (0.000, 0.500, 0.629) x2
Rh (0.500, 0.500, 0.000) x1

=====

Compound: Pr2NbS6
Source: Alexandria via LeMat-Bulk
Functional: PBE
Structure: optimized geometry

Computed properties:
formation energy (no corrections) = -1.37 eV/atom
total magnetic moment = 0.000 μB/atom
D(E_F) = 6.807 states/eV/f.u.

abc: 6.196 7.531 10.603
angles: 90.00 123.08 90.00
Space group P2_1/c (No. 14)
Symmetry-distinct sites (fractional):
Pr (0.210, 0.114, 0.254) x4
Nb (0.500, 0.000, 0.000) x2
S (0.115, 0.164, 0.948) x4
S (0.294, 0.704, 0.948) x4
S (0.339, 0.024, 0.733) x4

=====

Compound: SrHf2RuC
Source: Alexandria via LeMat-Bulk
Functional: PBE
Structure: optimized geometry

Computed properties:
total magnetic moment = 0.000 μB/atom
energy of formation = 22.28 kJ per mole of atoms
D(E_F) = 2.111 states/eV/f.u.

abc: 4.423 4.423 5.136
angles: 90.00 90.00 90.00
Space group P4/mmm (No. 123)
Symmetry-distinct sites (fractional):
Sr (0.000, 0.000, 0.000) x1
Hf (0.000, 0.500, 0.500) x2
Ru (0.500, 0.500, 0.000) x1
C (0.000, 0.000, 0.500) x1

=====

Compound: ZnGaAgF6
Source: Alexandria via LeMat-Bulk
Functional: PBE
Structure: optimized geometry

Computed properties:
formation energy (no corrections) = -2.17 eV/atom
total magnetic moment = 0.005 μB/atom
D(E_F) = 0.000 states/eV/f.u.

abc: 5.3583 5.3583 10.4306
angles: 90.00 90.00 120.00
Space group P-31c (No. 163)
Symmetry-distinct sites (fractional):
Zn (0.3333, 0.6667, 0.2500) x2
Ga (0.3333, 0.6667, 0.7500) x2
Ag (0.0000, 0.0000, 0.0000) x2
F (0.0194, 0.3830, 0.6471) x12

=====

Compound: Mn4Se3N2
Source: Alexandria via LeMat-Bulk
Functional: PBE
Structure: optimized geometry

Computed properties:
formation energy (no corrections) = -0.12 eV/atom
total magnetic moment = 1.416 μB/atom
D(E_F) = 4.751 states/eV/f.u.

abc: 6.146 15.799 3.222
angles: 90.00 90.00 90.00
Space group Pnnm (No. 58)
Symmetry-distinct sites (fractional):
Mn (0.017, 0.169, 0.000) x4
Mn (0.195, 0.000, 0.500) x4
Se (0.000, 0.500, 0.500) x2
Se (0.127, 0.279, 0.500) x4
N (0.000, 0.092, 0.500) x4